VASP calculation (GGA-PBE) on a relaxed HoHICl crystal.

Unit cell a=3.8637 b=3.8637 c=8.0647 alpha=90.11 beta=103.75 gamma=120.00
With the nearest neighbours (Å) after each atom.
Positions (direct):
Ho1 0.8283 0.2787 0.1070  3 H 2.23
H1 0.4999 0.6145 0.1144  3 Ho 2.23
I1 0.3467 0.0390 0.3857  3 H 3.07, 3 Ho 3.11
Cl1 0.0172 0.8723 0.8894  3 Ho 2.80, 3 H 2.83

Calculated values
* space group: Cm, No. 8
* M_tot: 0.000 μB/atom
* theoretical density: 5439 kg/m3
* uncorrected energy: -17.2 eV/cell
* volume: 25.06 A^3/atom

***

VASP calculation (GGA-PBE) on a relaxed Dy6Tm12Cd crystal.

Unit cell a=8.3495 b=8.3495 c=8.3495 alpha=88.86 beta=88.86 gamma=88.86
With the nearest neighbours (Å) after each atom.
Positions (direct):
Dy1 0.7382 0.9040 0.2935  7 Tm 3.28-3.62, 1 Cd 3.35, 2 Dy 3.39
Dy2 0.7065 0.2618 0.0960  7 Tm 3.28-3.62, 1 Cd 3.35, 2 Dy 3.39
Dy3 0.0960 0.7065 0.2618  7 Tm 3.28-3.62, 1 Cd 3.35, 2 Dy 3.39
Dy4 0.2618 0.0960 0.7065  7 Tm 3.28-3.62, 1 Cd 3.35, 2 Dy 3.39
Dy5 0.2935 0.7382 0.9040  7 Tm 3.28-3.62, 1 Cd 3.35, 2 Dy 3.39
Dy6 0.9040 0.2935 0.7382  7 Tm 3.28-3.62, 1 Cd 3.35, 2 Dy 3.39
Tm1 0.7801 0.5377 0.4364  6 Tm 3.24-3.59, 3 Dy 3.28-3.38
Tm2 0.4364 0.7801 0.5377  6 Tm 3.24-3.59, 3 Dy 3.28-3.38
Tm3 0.5377 0.4364 0.7801  6 Tm 3.24-3.59, 3 Dy 3.28-3.38
Tm4 0.2199 0.4623 0.5636  6 Tm 3.24-3.59, 3 Dy 3.28-3.38
Tm5 0.5636 0.2199 0.4623  6 Tm 3.24-3.59, 3 Dy 3.28-3.38
Tm6 0.4623 0.5636 0.2199  6 Tm 3.24-3.59, 3 Dy 3.28-3.38
Tm7 0.0148 0.1810 0.3631  4 Dy 3.37-3.62, 5 Tm 3.42-3.76, 1 Cd 3.42
Tm8 0.8190 0.6369 0.9852  4 Dy 3.37-3.62, 5 Tm 3.42-3.76, 1 Cd 3.42
Tm9 0.6369 0.9852 0.8190  4 Dy 3.37-3.62, 5 Tm 3.42-3.76, 1 Cd 3.42
Tm10 0.9852 0.8190 0.6369  4 Dy 3.37-3.62, 5 Tm 3.42-3.76, 1 Cd 3.42
Tm11 0.1810 0.3631 0.0148  4 Dy 3.37-3.62, 5 Tm 3.42-3.76, 1 Cd 3.42
Tm12 0.3631 0.0148 0.1810  4 Dy 3.37-3.62, 5 Tm 3.42-3.76, 1 Cd 3.42
Cd1 0.0000 0.0000 0.0000  6 Dy 3.35, 6 Tm 3.42

Calculated values
* space group: R-3, No. 148
* M_tot: 0.000 μB/atom
* formation energy from the elements: 0.112 eV per atom
* theoretical density: 8890 kg/m3
* uncorrected energy: -80.1 eV/cell
* volume: 30.62 A^3/atom

***

VASP calculation (GGA-PBE) on a relaxed Sr3TmMg4 crystal.

Unit cell a=4.0059 b=4.0059 c=16.8147 alpha=90.00 beta=90.00 gamma=90.00
With the nearest neighbours (Å) after each atom.
Positions (direct):
Sr1 0.5000 0.5000 0.2347  8 Mg 3.61-3.62, 1 Tm 3.95, 4 Sr 4.01
Sr2 0.5000 0.5000 0.5000  8 Mg 3.61, 4 Sr 4.01
Sr3 0.5000 0.5000 0.7653  8 Mg 3.61-3.62, 1 Tm 3.95, 4 Sr 4.01
Mg1 0.0000 0.0000 0.8992  4 Tm 3.30, 1 Mg 3.39, 4 Sr 3.62
Mg2 0.0000 0.0000 0.1008  4 Tm 3.30, 1 Mg 3.39, 4 Sr 3.62
Mg3 0.0000 0.0000 0.3674  8 Sr 3.61, 4 Mg 4.01
Mg4 0.0000 0.0000 0.6326  8 Sr 3.61, 4 Mg 4.01
Tm1 0.5000 0.5000 0.0000  8 Mg 3.30

Calculated values
* space group: P4/mmm, No. 123
* M_tot: 0.000 μB/atom
* formation energy from the elements: -0.039 eV per atom
* theoretical density: 3256 kg/m3
* uncorrected energy: -16.2 eV/cell
* volume: 33.73 A^3/atom

***

VASP calculation (GGA-PBE) on a relaxed SmDy2YEr crystal.

Unit cell a=7.2094 b=8.3857 c=7.0939 alpha=126.23 beta=90.00 gamma=90.00
With the nearest neighbours (Å) after each atom.
Positions (direct):
Sm1 0.2500 0.7260 0.4519  1 Y 3.13
Sm2 0.7500 0.2740 0.5481  1 Y 3.13
Dy1 0.5000 0.3107 0.0000  2 Y 3.17, 1 Dy 3.18, 2 Er 3.49, 2 Sm 3.53
Dy2 0.0000 0.6893 0.0000  2 Y 3.17, 1 Dy 3.18, 2 Er 3.49, 2 Sm 3.53
Dy3 0.5000 0.6893 0.0000  2 Y 3.17, 1 Dy 3.18, 2 Er 3.49, 2 Sm 3.53
Dy4 0.0000 0.3107 0.0000  2 Y 3.17, 1 Dy 3.18, 2 Er 3.49, 2 Sm 3.53
Y1 0.2500 0.9995 0.9990  1 Sm 3.13, 4 Dy 3.17, 1 Er 3.19
Y2 0.7500 0.0005 0.0010  1 Sm 3.13, 4 Dy 3.17, 1 Er 3.19
Er1 0.7500 0.7217 0.4434  1 Y 3.19, 4 Dy 3.49
Er2 0.2500 0.2783 0.5566  1 Y 3.19, 4 Dy 3.49

Calculated values
* space group: Cmcm, No. 63
* M_tot: 0.000 μB/atom
* formation energy from the elements: 0.409 eV per atom
* theoretical density: 7023 kg/m3
* uncorrected energy: -45.8 eV/cell
* volume: 34.59 A^3/atom

***

VASP calculation (GGA-PBE) on a relaxed EuNi2B crystal.

Unit cell a=3.6616 b=3.6616 c=5.5717 alpha=70.82 beta=70.82 gamma=60.00
With the nearest neighbours (Å) after each atom.
Positions (direct):
Eu1 0.5000 0.5000 0.5000  8 Ni 2.99-3.03, 6 B 3.33
Ni1 0.6962 0.6962 0.9113  3 B 2.16, 3 Ni 2.30
Ni2 0.3038 0.3038 0.0887  3 B 2.16, 3 Ni 2.30
B1 0.0000 0.0000 0.0000  6 Ni 2.16

Calculated values
* space group: R-3m, No. 166
* M_tot: 1.772 μB/atom
* formation energy from the elements: -0.173 eV per atom
* theoretical density: 7772 kg/m3
* uncorrected energy: -29.2 eV/cell
* volume: 14.96 A^3/atom

***

VASP calculation (GGA-PBE) on a relaxed TlInIBr crystal.

Unit cell a=5.8539 b=5.8539 c=5.8539 alpha=60.00 beta=60.00 gamma=60.00
With the nearest neighbours (Å) after each atom.
Positions (direct):
I1 0.2500 0.2500 0.2500  4 In 3.58, 4 Tl 3.58
Tl1 0.5000 0.5000 0.5000  4 I 3.58, 4 Br 3.58
Br1 0.7500 0.7500 0.7500  4 Tl 3.58, 4 In 3.58
In1 0.0000 0.0000 0.0000  4 Br 3.58, 4 I 3.58

Calculated values
* space group: F-43m, No. 216
* M_tot: 0.000 μB/atom
* excess energy over the best structure of this formula in the dataset: 34 meV/atom
* theoretical density: 6158 kg/m3
* formation energy from raw total energies: -0.60 eV per atom
* uncorrected energy: -10.7 eV/cell
* volume: 35.46 A^3/atom

***

VASP calculation (GGA-PBE) on a relaxed SmSiAg2Se4 crystal.

Unit cell a=8.0777 b=8.0777 c=8.2989 alpha=120.91 beta=120.91 gamma=90.91
With the nearest neighbours (Å) after each atom.
Positions (direct):
Sm1 0.0000 0.5000 0.0000  6 Se 2.89-2.92
Sm2 0.0000 0.5000 0.5000  6 Se 2.89-2.92
Si1 0.5000 0.5000 0.5000  6 Se 2.65-2.69
Si2 0.0000 0.0000 0.0000  6 Se 2.65-2.69
Ag1 0.5000 0.0000 0.0000  6 Se 2.80-2.85
Ag2 0.5000 0.0000 0.5000  6 Se 2.80-2.85
Ag3 0.0000 0.0000 0.5000  6 Se 2.99-3.11
Ag4 0.5000 0.5000 0.0000  6 Se 2.99-3.11
Se1 0.2382 0.7780 0.0081  1 Si 2.65, 2 Ag 2.80, 2 Sm 2.89
Se2 0.7220 0.2618 0.4919  1 Si 2.65, 2 Ag 2.80, 2 Sm 2.89
Se3 0.2780 0.7382 0.5081  1 Si 2.65, 2 Ag 2.80, 2 Sm 2.89
Se4 0.7618 0.2220 0.9919  1 Si 2.65, 2 Ag 2.80, 2 Sm 2.89
Se5 0.7472 0.7526 0.9750  2 Si 2.69, 3 Ag 2.85-2.99, 1 Sm 2.92
Se6 0.7474 0.7528 0.5250  2 Si 2.69, 3 Ag 2.85-2.99, 1 Sm 2.92
Se7 0.2526 0.2472 0.4750  2 Si 2.69, 3 Ag 2.85-2.99, 1 Sm 2.92
Se8 0.2528 0.2474 0.0250  2 Si 2.69, 3 Ag 2.85-2.99, 1 Sm 2.92

Calculated values
* space group: Imma, No. 74
* M_tot: 0.000 μB/atom
* theoretical density: 6395 kg/m3
* formation energy from raw total energies: -0.58 eV per atom
* uncorrected energy: -68.8 eV/cell
* volume: 23.05 A^3/atom

***

VASP calculation (GGA-PBE) on a relaxed Ba4CuPBr2 crystal.

Unit cell a=4.6589 b=8.2191 c=8.4847 alpha=108.07 beta=90.00 gamma=90.00
With the nearest neighbours (Å) after each atom.
Positions (direct):
Ba1 0.5000 0.2436 0.2177  1 P 3.20, 2 Cu 3.25, 3 Br 3.53-3.57
Ba2 0.5000 0.7564 0.7823  1 P 3.20, 2 Cu 3.25, 3 Br 3.53-3.57
Ba3 0.0000 0.2700 0.7826  2 P 3.20, 1 Cu 3.30, 3 Br 3.48-3.58
Ba4 0.0000 0.7300 0.2174  2 P 3.20, 1 Cu 3.30, 3 Br 3.48-3.58
Cu1 0.0000 0.0000 0.0000  6 Ba 3.25-3.30
P1 0.5000 0.5000 0.0000  6 Ba 3.20
Br1 0.5000 0.0000 0.5000  6 Ba 3.57-3.58
Br2 0.0000 0.5000 0.5000  6 Ba 3.48-3.53

Calculated values
* space group: P2/m, No. 10
* M_tot: 0.195 μB/atom
* theoretical density: 4321 kg/m3
* formation energy from raw total energies: -1.13 eV per atom
* uncorrected energy: -29.6 eV/cell
* volume: 38.61 A^3/atom

***

VASP calculation (GGA-PBE) on a relaxed La3InPb3 crystal.

Unit cell a=5.9953 b=9.2550 c=9.2550 alpha=120.00 beta=90.00 gamma=90.00
With the nearest neighbours (Å) after each atom.
Positions (direct):
La1 0.7500 0.6406 0.5508  5 Pb 3.25-3.62, 1 In 3.51
La2 0.7500 0.4492 0.0898  5 Pb 3.25-3.62, 1 In 3.51
La3 0.7500 0.9102 0.3594  5 Pb 3.25-3.62, 1 In 3.51
La4 0.2500 0.3594 0.4492  5 Pb 3.25-3.62, 1 In 3.51
La5 0.2500 0.5508 0.9102  5 Pb 3.25-3.62, 1 In 3.51
La6 0.2500 0.0898 0.6406  5 Pb 3.25-3.62, 1 In 3.51
In1 0.2500 0.6667 0.3333  3 Pb 3.36, 9 La 3.51-3.69
In2 0.7500 0.3333 0.6667  3 Pb 3.36, 9 La 3.51-3.69
Pb1 0.2500 0.8031 0.7451  5 La 3.25-3.62, 1 In 3.36
Pb2 0.2500 0.2549 0.0580  5 La 3.25-3.62, 1 In 3.36
Pb3 0.2500 0.9420 0.1969  5 La 3.25-3.62, 1 In 3.36
Pb4 0.7500 0.1969 0.2549  5 La 3.25-3.62, 1 In 3.36
Pb5 0.7500 0.7451 0.9420  5 La 3.25-3.62, 1 In 3.36
Pb6 0.7500 0.0580 0.8031  5 La 3.25-3.62, 1 In 3.36

Calculated values
* space group: P6_3/m, No. 176
* M_tot: 0.000 μB/atom
* formation energy from the elements: -0.376 eV per atom
* theoretical density: 8611 kg/m3
* uncorrected energy: -62.6 eV/cell
* volume: 31.77 A^3/atom

***

VASP calculation (GGA-PBE) on a relaxed ZrSc2BSb crystal.

Unit cell a=5.3214 b=4.2675 c=5.3214 alpha=90.00 beta=90.00 gamma=90.00
With the nearest neighbours (Å) after each atom.
Positions (direct):
Sc1 0.0000 0.0000 0.5000  2 Zr 2.66
Sc2 0.5000 0.0000 0.0000  2 Zr 2.66
Sb1 0.5000 0.5000 0.5000  8 Sc 3.41, 4 B 3.76
B1 0.0000 0.5000 0.0000  2 Zr 2.13
Zr1 0.0000 0.0000 0.0000  2 B 2.13

Calculated values
* space group: P4/mmm, No. 123
* M_tot: 0.000 μB/atom
* excess energy over the best structure of this formula in the dataset: 1464 meV/atom
* theoretical density: 4311 kg/m3
* formation energy from raw total energies: 0.88 eV per atom
* uncorrected energy: -27.6 eV/cell
* volume: 24.17 A^3/atom